DFT (PBE) results for a relaxed Sc2TlBi crystal.

Cell lengths 3.8565, 3.8565, 29.3574 Å; angles 90.00, 90.00, 120.00 degrees
Space group R-3m (No. 166, hexagonal axes)
Unique sites:
Sc: 0.0000 0.0000 0.1019
Tl: 0.0000 0.0000 0.0000
Bi: 0.0000 0.0000 0.5000

Values from the calculation:
energy above the most stable polymorph in this dataset: 0.371 eV/atom



DFT (PBE) results for a relaxed Sc4TlBi crystal.

Cell lengths 15.781, 5.770, 7.064 Å; angles 90.00, 100.11, 90.00 degrees
Space group C2/c (No. 15)
Unique sites:
Sc: 0.069 0.124 0.429
Sc: 0.152 0.354 0.104
Tl: 0.250 0.250 0.500
Bi: 0.000 0.375 0.750



DFT (PBE) results for a relaxed ScTl3Bi crystal.

Cell lengths 5.639, 5.639, 5.639 Å; angles 90.00, 90.00, 90.00 degrees
Space group Pm-3m (No. 221)
Unique sites:
Sc: 0.000 0.000 0.000
Tl: 0.000 0.000 0.500
Bi: 0.500 0.500 0.500

Values from the calculation:
energy above the most stable polymorph in this dataset: 0.000 eV/atom



Computed values of size of the total moment (unit: μB/f.u.) for the preceding records, in sequence: 0.0; 0.0; 0.9.
Computed values of formation energy from the elements (unit: eV/atom) for the preceding records, in sequence: 0.04; -0.14; 0.41.